Entry 1:
Compound: Nd2ScCd
Source: Alexandria via LeMat-Bulk
Functional: PBE
Structure: relaxed

Lattice parameters (Å, degrees): 3.564 3.564 11.052 80.72 80.72 60.00
Fractional coordinates of all 4 atoms:
Nd1 0.083 0.083 0.752
Nd2 0.251 0.251 0.248
Sc1 0.500 0.500 0.501
Cd1 0.667 0.667 0.000

Properties
Its density of states at the Fermi level is 5.4 states/eV per cell. The polymorph energy (0 for the lowest one) is 9.0 kJ/mol of atoms. The calculated formation energy comes out at -0.0170 eV per atom. The calculation puts the final energy at -4.21 eV/atom.

***

Entry 2:
Compound: Pm2Zn2Hg
Source: Alexandria via LeMat-Bulk
Functional: PBE
Structure: relaxed

Lattice parameters (Å, degrees): 4.644 5.916 9.967 81.33 76.53 66.89
Fractional coordinates of all 10 atoms:
Pm1 0.306 0.284 0.104
Pm2 0.525 0.285 0.666
Pm3 0.694 0.716 0.896
Pm4 0.475 0.715 0.334
Zn1 0.978 0.153 0.892
Zn2 0.129 0.305 0.436
Zn3 0.022 0.847 0.108
Zn4 0.871 0.695 0.564
Hg1 0.770 0.117 0.342
Hg2 0.230 0.883 0.658

Properties
Its density of states at the Fermi level is 10.0 states/eV per cell. The polymorph energy (0 for the lowest one) is 1.2 kJ/mol of atoms. The calculated formation energy comes out at -0.3347 eV per atom. The calculation puts the final energy at -2.80 eV/atom.

***

Entry 3:
Compound: InGa3Pt3
Source: Alexandria via LeMat-Bulk
Functional: PBE
Structure: relaxed

Lattice parameters (Å, degrees): 7.792 7.792 7.792 90.00 90.00 90.00
Fractional coordinates of all 28 atoms:
In1 0.057 0.557 0.943
In2 0.943 0.057 0.557
In3 0.443 0.443 0.443
In4 0.557 0.943 0.057
Ga1 0.836 0.336 0.164
Ga2 0.877 0.877 0.877
Ga3 0.801 0.699 0.301
Ga4 0.164 0.836 0.336
Ga5 0.199 0.199 0.199
Ga6 0.301 0.801 0.699
Ga7 0.123 0.377 0.623
Ga8 0.336 0.164 0.836
Ga9 0.699 0.301 0.801
Ga10 0.664 0.664 0.664
Ga11 0.623 0.123 0.377
Ga12 0.377 0.623 0.123
Pt1 0.702 0.602 0.996
Pt2 0.898 0.004 0.202
Pt3 0.996 0.702 0.602
Pt4 0.102 0.504 0.298
Pt5 0.298 0.102 0.504
Pt6 0.202 0.898 0.004
Pt7 0.004 0.202 0.898
Pt8 0.398 0.496 0.798
Pt9 0.504 0.298 0.102
Pt10 0.602 0.996 0.702
Pt11 0.798 0.398 0.496
Pt12 0.496 0.798 0.398

Properties
Its density of states at the Fermi level is 11.5 states/eV per cell. The polymorph energy (0 for the lowest one) is 0.0 kJ/mol of atoms. The calculated formation energy comes out at -0.4493 eV per atom. The calculation puts the final energy at -4.73 eV/atom.

***

Entry 4:
Compound: MgCu2Au3
Source: Alexandria via LeMat-Bulk
Functional: PBE
Structure: relaxed

Lattice parameters (Å, degrees): 6.707 6.707 7.103 90.00 90.00 143.14
Fractional coordinates of all 12 atoms:
Mg1 0.342 0.658 0.000
Mg2 0.658 0.342 0.000
Cu1 0.000 0.000 0.000
Cu2 0.000 0.000 0.500
Cu3 0.327 0.673 0.500
Cu4 0.673 0.327 0.500
Au1 0.835 0.165 0.745
Au2 0.500 0.500 0.270
Au3 0.165 0.835 0.255
Au4 0.835 0.165 0.255
Au5 0.165 0.835 0.745
Au6 0.500 0.500 0.730

Properties
Its density of states at the Fermi level is 3.0 states/eV per cell. The calculated formation energy comes out at -0.2355 eV per atom. The calculation puts the final energy at -3.51 eV/atom.

***

Entry 5:
Compound: BaTcHg2
Source: Alexandria via LeMat-Bulk
Functional: PBE
Structure: relaxed

Lattice parameters (Å, degrees): 8.490 4.051 14.449 90.00 112.79 90.00
Fractional coordinates of all 16 atoms:
Tc1 0.970 0.000 0.702
Tc2 0.030 0.000 0.298
Tc3 0.970 0.500 0.202
Tc4 0.030 0.500 0.798
Hg1 0.764 0.000 0.492
Hg2 0.236 0.000 0.508
Hg3 0.764 0.500 0.992
Hg4 0.236 0.500 0.008
Hg5 0.849 0.000 0.867
Hg6 0.151 0.000 0.133
Hg7 0.849 0.500 0.367
Hg8 0.151 0.500 0.633
Ba1 0.382 0.000 0.849
Ba2 0.618 0.000 0.151
Ba3 0.382 0.500 0.349
Ba4 0.618 0.500 0.651

Properties
Its density of states at the Fermi level is 11.1 states/eV per cell. The polymorph energy (0 for the lowest one) is 6.3 kJ/mol of atoms. The calculated formation energy comes out at 0.0450 eV per atom. The calculation puts the final energy at -3.18 eV/atom.

***

Entry 6:
Compound: Ac2DyAu
Source: Alexandria via LeMat-Bulk
Functional: PBE
Structure: relaxed

Lattice parameters (Å, degrees): 3.920 3.920 8.963 90.00 90.00 90.00
Fractional coordinates of all 4 atoms:
Ac1 0.000 0.000 0.786
Ac2 0.000 0.000 0.214
Au1 0.500 0.500 0.000
Dy1 0.500 0.500 0.500

Properties
Its density of states at the Fermi level is 5.8 states/eV per cell. The polymorph energy (0 for the lowest one) is 0.0 kJ/mol of atoms. The calculated formation energy comes out at -0.3274 eV per atom. The calculation puts the final energy at -4.35 eV/atom.

***

no.,calculated volume (Å³/atom)
1,29.856
2,24.436
3,16.896
4,15.976
5,28.639
6,34.434